Below is crystalline CaMn6O5F7 at its relaxed geometry, with properties calculated at the GGA+U level.

Output
- calculated volume (Å³ per atom) = 14.1
- E above lowest polymorph (meV/atom) = 43
- total magnetic moment (μB/cell) = 27.0
- SG = P1, No. 1
- total energy (eV/atom) = -6.694
- ρ (g cm⁻³) = 3.608

Geometry as POSCAR:
```
CaMn6O5F7
1.0
0.7303 -5.2397 2.8722
2.4941 3.1137 5.3150
-7.0973 0.9690 0.2505
Ca Mn O F
1 6 5 7
Cartesian
-0.0699 1.0980 5.5780
0.9049 -1.9991 5.3540
-1.1904 -0.3931 2.9243
-2.7262 -1.2796 5.6483
-4.9426 0.0825 2.7941
-2.6694 -4.2323 3.3057
0.7512 -4.8210 2.9413
-0.8653 -0.9316 4.9252
0.5370 -0.2771 1.8319
-1.7365 0.1410 0.8794
-4.4390 -1.0103 6.7024
-4.2387 -0.5215 1.1196
-1.8518 -2.7176 2.3265
-3.1147 -3.2495 5.0719
-1.9333 -0.6640 7.6870
-3.2341 -0.4575 3.6807
-0.8688 1.7448 3.5719
-5.8736 -1.7714 3.6626
1.6703 -0.1070 4.3392
```